# 1
## Rb2TaRuBr6 (PBE)

Data for an optimized crystal structure of Rb2TaRuBr6.

```
data_Rb2TaRuBr6
_cell_length_a 7.5916
_cell_length_b 7.5916
_cell_length_c 10.7099
_cell_angle_alpha 90.00
_cell_angle_beta 90.00
_cell_angle_gamma 90.00
_space_group_name_H-M_alt 'I 4/m m m'
_space_group_IT_number 139
_space_group_name_Hall '-I 4 2'
loop_
_atom_site_label
_atom_site_type_symbol
_atom_site_fract_x
_atom_site_fract_y
_atom_site_fract_z
_atom_site_occupancy
Rb1 Rb 0.0000 0.5000 0.2500 1
Ta1 Ta 0.0000 0.0000 0.0000 1
Ru1 Ru 0.0000 0.0000 0.5000 1
Br1 Br 0.0000 0.0000 0.2450 1
Br2 Br 0.2446 0.2446 0.0000 1
```

The calculation puts the theoretical density at 5.02 Mg/m³. The uncorrected formation energy comes out at -0.673 eV per atom.


# 2
## Ti6Ga2Pt (PBE)

Data for an optimized crystal structure of Ti6Ga2Pt.

```
data_Ti6Ga2Pt
_cell_length_a 3.9276
_cell_length_b 5.9199
_cell_length_c 13.6719
_cell_angle_alpha 90.00
_cell_angle_beta 90.00
_cell_angle_gamma 90.00
_space_group_name_H-M_alt 'I m m m'
_space_group_IT_number 71
_space_group_name_Hall '-I 2 2'
loop_
_atom_site_label
_atom_site_type_symbol
_atom_site_fract_x
_atom_site_fract_y
_atom_site_fract_z
_atom_site_occupancy
Ti1 Ti 0.0000 0.2285 0.0000 1
Ti2 Ti 0.0000 0.2617 0.1820 1
Ga1 Ga 0.0000 0.5000 0.3835 1
Pt1 Pt 0.0000 0.0000 0.5000 1
```

The calculation puts the theoretical density at 6.50 Mg/m³. Its formation energy is 103 meV per atom.


# 3
## ScHgBr (PBE)

Data for an optimized crystal structure of ScHgBr.

```
data_ScHgBr
_cell_length_a 15.1365
_cell_length_b 3.5835
_cell_length_c 6.2056
_cell_angle_alpha 90.00
_cell_angle_beta 90.00
_cell_angle_gamma 90.00
_space_group_name_H-M_alt 'A m m 2'
_space_group_IT_number 38
_space_group_name_Hall 'A 2 -2'
loop_
_atom_site_label
_atom_site_type_symbol
_atom_site_fract_x
_atom_site_fract_y
_atom_site_fract_z
_atom_site_occupancy
Sc1 Sc 0.1443 0.0000 0.0000 1
Hg1 Hg 0.0000 0.0000 0.3334 1
Hg2 Hg 0.5000 0.0000 0.0048 1
Br1 Br 0.2642 0.0000 0.3334 1
```

The calculation puts the theoretical density at 6.42 Mg/m³. The uncorrected formation energy comes out at -0.803 eV per atom.


# 4
## KInGa2Cu (PBE)

Data for an optimized crystal structure of KInGa2Cu.

```
data_KInGa2Cu
_cell_length_a 4.9304
_cell_length_b 4.9304
_cell_length_c 5.2231
_cell_angle_alpha 90.00
_cell_angle_beta 90.00
_cell_angle_gamma 90.00
_space_group_name_H-M_alt 'P 4/m m m'
_space_group_IT_number 123
_space_group_name_Hall '-P 4 2'
loop_
_atom_site_label
_atom_site_type_symbol
_atom_site_fract_x
_atom_site_fract_y
_atom_site_fract_z
_atom_site_occupancy
K1 K 0.0000 0.0000 0.0000 1
In1 In 0.5000 0.5000 0.0000 1
Ga1 Ga 0.0000 0.5000 0.5000 1
Cu1 Cu 0.5000 0.5000 0.5000 1
```

The calculation puts the theoretical density at 4.67 Mg/m³. Its formation energy is 86 meV per atom.


# 5
## MgCd2 (PBE)

Data for an optimized crystal structure of MgCd2.

```
data_MgCd2
_cell_length_a 12.0581
_cell_length_b 3.1352
_cell_length_c 7.2432
_cell_angle_alpha 90.00
_cell_angle_beta 103.76
_cell_angle_gamma 90.00
_space_group_name_H-M_alt 'C 1 m 1'
_space_group_IT_number 8
_space_group_name_Hall 'C -2y'
loop_
_atom_site_label
_atom_site_type_symbol
_atom_site_fract_x
_atom_site_fract_y
_atom_site_fract_z
_atom_site_occupancy
Mg1 Mg 0.0000 0.0000 0.0000 1
Mg2 Mg 0.1747 0.5000 0.3449 1
Cd1 Cd 0.1164 0.5000 0.7350 1
Cd2 Cd 0.2814 0.0000 0.0702 1
Cd3 Cd 0.3385 0.0000 0.6734 1
Cd4 Cd 0.4577 0.5000 0.3943 1
```

The calculation puts the theoretical density at 6.22 Mg/m³. Its formation energy is -60 meV per atom.


# 6
## CdWCl2 (PBE)

Data for an optimized crystal structure of CdWCl2.

```
data_CdWCl2
_cell_length_a 3.1375
_cell_length_b 5.7078
_cell_length_c 9.6646
_cell_angle_alpha 90.00
_cell_angle_beta 90.00
_cell_angle_gamma 90.00
_space_group_name_H-M_alt 'C m m 2'
_space_group_IT_number 35
_space_group_name_Hall 'C 2 -2'
loop_
_atom_site_label
_atom_site_type_symbol
_atom_site_fract_x
_atom_site_fract_y
_atom_site_fract_z
_atom_site_occupancy
Cd1 Cd 0.0000 0.0000 0.0000 1
W1 W 0.0000 0.5000 0.7495 1
Cl1 Cl 0.0000 0.0000 0.5610 1
Cl2 Cl 0.0000 0.5000 0.2032 1
```

The calculation puts the theoretical density at 7.05 Mg/m³. The uncorrected formation energy comes out at 0.110 eV per atom.


# 7
## Cd2SiGe (PBE)

Data for an optimized crystal structure of Cd2SiGe.

```
data_Cd2SiGe
_cell_length_a 7.8196
_cell_length_b 7.8196
_cell_length_c 5.6315
_cell_angle_alpha 90.00
_cell_angle_beta 90.00
_cell_angle_gamma 90.00
_space_group_name_H-M_alt 'I -4 2 d'
_space_group_IT_number 122
_space_group_name_Hall 'I -4 2bw'
loop_
_atom_site_label
_atom_site_type_symbol
_atom_site_fract_x
_atom_site_fract_y
_atom_site_fract_z
_atom_site_occupancy
Cd1 Cd 0.2326 0.2500 0.1250 1
Si1 Si 0.0000 0.0000 0.0000 1
Ge1 Ge 0.0000 0.0000 0.5000 1
```

The calculation puts the theoretical density at 6.28 Mg/m³. The uncorrected formation energy comes out at 0.400 eV per atom.


# 8
## LaGdGePd (PBE)

Data for an optimized crystal structure of LaGdGePd.

```
data_LaGdGePd
_cell_length_a 7.3109
_cell_length_b 7.3109
_cell_length_c 7.3109
_cell_angle_alpha 90.00
_cell_angle_beta 90.00
_cell_angle_gamma 90.00
_space_group_name_H-M_alt 'F -4 3 m'
_space_group_IT_number 216
_space_group_name_Hall 'F -4 2 3'
loop_
_atom_site_label
_atom_site_type_symbol
_atom_site_fract_x
_atom_site_fract_y
_atom_site_fract_z
_atom_site_occupancy
La1 La 0.0000 0.0000 0.0000 1
Gd1 Gd 0.0000 0.0000 0.5000 1
Ge1 Ge 0.2500 0.2500 0.2500 1
Pd1 Pd 0.2500 0.2500 0.7500 1
```

The calculation puts the theoretical density at 8.08 Mg/m³. Its formation energy is -758 meV per atom.


# 9
## Y2Cr2Ag (PBE)

Data for an optimized crystal structure of Y2Cr2Ag.

```
data_Y2Cr2Ag
_cell_length_a 7.0013
_cell_length_b 7.0013
_cell_length_c 4.3013
_cell_angle_alpha 90.00
_cell_angle_beta 90.00
_cell_angle_gamma 90.00
_space_group_name_H-M_alt 'P 4/m b m'
_space_group_IT_number 127
_space_group_name_Hall '-P 4 2ab'
loop_
_atom_site_label
_atom_site_type_symbol
_atom_site_fract_x
_atom_site_fract_y
_atom_site_fract_z
_atom_site_occupancy
Y1 Y 0.1859 0.3141 0.0000 1
Cr1 Cr 0.0954 0.5954 0.5000 1
Ag1 Ag 0.0000 0.0000 0.5000 1
```

The calculation puts the theoretical density at 6.14 Mg/m³. Its formation energy is 279 meV per atom.


# 10
## La7PrY3 (PBE)

Data for an optimized crystal structure of La7PrY3.

```
data_La7PrY3
_cell_length_a 12.7052
_cell_length_b 7.3374
_cell_length_c 8.7140
_cell_angle_alpha 90.00
_cell_angle_beta 90.05
_cell_angle_gamma 90.00
_space_group_name_H-M_alt 'C 1 m 1'
_space_group_IT_number 8
_space_group_name_Hall 'C -2y'
loop_
_atom_site_label
_atom_site_type_symbol
_atom_site_fract_x
_atom_site_fract_y
_atom_site_fract_z
_atom_site_occupancy
La1 La 0.0000 0.0000 0.0000 1
La2 La 0.0022 0.5000 0.9699 1
La3 La 0.1708 0.5000 0.6393 1
La4 La 0.2535 0.2537 0.0004 1
La5 La 0.4176 0.2534 0.6390 1
Pr1 Pr 0.1688 0.0000 0.6661 1
Y1 Y 0.0855 0.2500 0.3194 1
Y2 Y 0.3355 0.0000 0.3194 1
```

The calculation puts the theoretical density at 5.64 Mg/m³. Its formation energy is 173 meV per atom.


# 11
## CaZn2Te (PBE)

Data for an optimized crystal structure of CaZn2Te.

```
data_CaZn2Te
_cell_length_a 4.4185
_cell_length_b 4.9535
_cell_length_c 8.9989
_cell_angle_alpha 90.00
_cell_angle_beta 90.00
_cell_angle_gamma 90.00
_space_group_name_H-M_alt 'I m m 2'
_space_group_IT_number 44
_space_group_name_Hall 'I 2 -2'
loop_
_atom_site_label
_atom_site_type_symbol
_atom_site_fract_x
_atom_site_fract_y
_atom_site_fract_z
_atom_site_occupancy
Ca1 Ca 0.0000 0.0000 0.0000 1
Zn1 Zn 0.0000 0.0000 0.5386 1
Zn2 Zn 0.0000 0.5000 0.2301 1
Te1 Te 0.0000 0.5000 0.7621 1
```

The calculation puts the theoretical density at 5.03 Mg/m³. The uncorrected formation energy comes out at -0.348 eV per atom.


# 12
## Cd7Ga2Hg2 (PBE)

Data for an optimized crystal structure of Cd7Ga2Hg2.

```
data_Cd7Ga2Hg2
_cell_length_a 9.8814
_cell_length_b 8.9476
_cell_length_c 6.3182
_cell_angle_alpha 90.00
_cell_angle_beta 90.08
_cell_angle_gamma 90.00
_space_group_name_H-M_alt 'C 1 2/m 1'
_space_group_IT_number 12
_space_group_name_Hall '-C 2y'
loop_
_atom_site_label
_atom_site_type_symbol
_atom_site_fract_x
_atom_site_fract_y
_atom_site_fract_z
_atom_site_occupancy
Cd1 Cd 0.0000 0.0000 0.0000 1
Cd2 Cd 0.0001 0.5000 0.2715 1
Cd3 Cd 0.2498 0.2498 0.2614 1
Ga1 Ga 0.2253 0.5000 0.0004 1
Hg1 Hg 0.0000 0.1653 0.5000 1
```

The calculation puts the theoretical density at 7.89 Mg/m³. Its formation energy is 81 meV per atom.


# 13
## CaCeGePt (PBE)

Data for an optimized crystal structure of CaCeGePt.

```
data_CaCeGePt
_cell_length_a 7.1577
_cell_length_b 7.1577
_cell_length_c 7.1577
_cell_angle_alpha 90.00
_cell_angle_beta 90.00
_cell_angle_gamma 90.00
_space_group_name_H-M_alt 'F -4 3 m'
_space_group_IT_number 216
_space_group_name_Hall 'F -4 2 3'
loop_
_atom_site_label
_atom_site_type_symbol
_atom_site_fract_x
_atom_site_fract_y
_atom_site_fract_z
_atom_site_occupancy
Ca1 Ca 0.0000 0.0000 0.0000 1
Ce1 Ce 0.0000 0.0000 0.5000 1
Ge1 Ge 0.2500 0.2500 0.2500 1
Pt1 Pt 0.2500 0.2500 0.7500 1
```

The calculation puts the theoretical density at 8.11 Mg/m³. Its formation energy is -770 meV per atom.